No. 1
# ScGaPt2, optimized geometry, DFT PBE-GGA
data_ScGaPt2
_space_group_name_H-M_alt 'P 4/m m m'
_space_group_IT_number 123
_space_group_name_Hall '-P 4 2'
_cell_length_a 4.120
_cell_length_b 4.120
_cell_length_c 3.849
_cell_angle_alpha 90.00
_cell_angle_beta 90.00
_cell_angle_gamma 90.00
loop_
_atom_site_label
_atom_site_fract_x
_atom_site_fract_y
_atom_site_fract_z
Sc1 0.000 0.000 0.000
Ga1 0.500 0.500 0.000
Pt1 0.000 0.500 0.500
# - spin magnetization (μB per formula unit) = 0.0
# - crystal system = tetragonal
# - energy relative to the elements (eV per atom) = -0.934

No. 2
# Te4Pt3, optimized geometry, DFT PBE-GGA
data_Te4Pt3
_space_group_name_H-M_alt 'C 1 2/m 1'
_space_group_IT_number 12
_cell_length_a 18.077
_cell_length_b 4.016
_cell_length_c 5.051
_cell_angle_alpha 90.00
_cell_angle_beta 98.49
_cell_angle_gamma 90.00
loop_
_space_group_symop_operation_xyz
'x,y,z'
'-x,-y,-z'
'-x,y,-z'
'x,-y,z'
'x+1/2,y+1/2,z'
'-x+1/2,-y+1/2,-z'
'-x+1/2,y+1/2,-z'
'x+1/2,-y+1/2,z'
loop_
_atom_site_label
_atom_site_fract_x
_atom_site_fract_y
_atom_site_fract_z
Te1 0.093 0.000 0.388
Te2 0.200 0.500 0.844
Pt1 0.000 0.500 0.500
Pt2 0.077 0.500 0.036
# - spin magnetization (μB per formula unit) = 0.0
# - crystal system = monoclinic
# - relative energy among the computed polymorphs (eV per atom) = 0.3181
# - formation energy without anion corrections (eV/atom) = -0.068

No. 3
# InCo2Cu, optimized geometry, DFT PBE-GGA
data_InCo2Cu
_space_group_name_H-M_alt 'P m m 2'
_space_group_IT_number 25
_cell_length_a 4.276
_cell_length_b 5.332
_cell_length_c 4.794
_cell_angle_alpha 90.00
_cell_angle_beta 90.00
_cell_angle_gamma 90.00
loop_
_space_group_symop_operation_xyz
'x,y,z'
'-x,-y,z'
'-x,y,z'
'x,-y,z'
loop_
_atom_site_label
_atom_site_fract_x
_atom_site_fract_y
_atom_site_fract_z
In1 0.000 0.000 0.000
In2 0.500 0.500 0.291
Co1 0.000 0.243 0.494
Co2 0.000 0.500 0.917
Co3 0.500 0.000 0.362
Cu1 0.500 0.255 0.799
# - spin magnetization (μB per formula unit) = 2.7
# - crystal system = orthorhombic
# - energy relative to the elements (eV per atom) = 0.167

No. 4
# CaZr2Te, optimized geometry, DFT PBE-GGA
data_CaZr2Te
_space_group_name_H-M_alt 'C m m m'
_space_group_IT_number 65
_space_group_name_Hall '-C 2 2'
_cell_length_a 6.263
_cell_length_b 8.866
_cell_length_c 3.573
_cell_angle_alpha 90.00
_cell_angle_beta 90.00
_cell_angle_gamma 90.00
loop_
_atom_site_label
_atom_site_fract_x
_atom_site_fract_y
_atom_site_fract_z
Ca1 0.000 0.000 0.000
Zr1 0.250 0.250 0.500
Te1 0.000 0.500 0.000
# - spin magnetization (μB per formula unit) = 0.0
# - crystal system = orthorhombic
# - formation energy without anion corrections (eV/atom) = -0.054

No. 5
# TmPt3O6, optimized geometry, DFT PBE-GGA
data_TmPt3O6
_space_group_name_H-M_alt 'C m m m'
_space_group_IT_number 65
_space_group_name_Hall '-C 2 2'
_cell_length_a 7.075
_cell_length_b 10.089
_cell_length_c 3.508
_cell_angle_alpha 90.00
_cell_angle_beta 90.00
_cell_angle_gamma 90.00
loop_
_atom_site_label
_atom_site_fract_x
_atom_site_fract_y
_atom_site_fract_z
Tm1 0.000 0.000 0.000
Pt1 0.000 0.500 0.000
Pt2 0.250 0.250 0.500
O1 0.000 0.147 0.500
O2 0.214 0.370 0.000
# - spin magnetization (μB per formula unit) = 0.0
# - crystal system = orthorhombic
# - formation energy without anion corrections (eV/atom) = -1.227

No. 6
# CaAc2Mg16, optimized geometry, DFT PBE-GGA
data_CaAc2Mg16
_space_group_name_H-M_alt 'R 3 m'
_space_group_IT_number 160
_space_group_name_Hall 'R 3 -2"'
_cell_length_a 10.5922
_cell_length_b 10.5922
_cell_length_c 15.5047
_cell_angle_alpha 90.00
_cell_angle_beta 90.00
_cell_angle_gamma 120.00
loop_
_atom_site_label
_atom_site_fract_x
_atom_site_fract_y
_atom_site_fract_z
Ca1 0.0000 0.0000 0.0000
Ac1 0.0000 0.0000 0.2491
Ac2 0.0000 0.0000 0.5682
Mg1 0.0000 0.0000 0.7954
Mg2 0.9996 0.3017 0.9081
Mg3 0.0064 0.5032 0.0630
Mg4 0.0067 0.5034 0.4088
Mg5 0.1707 0.3413 0.0894
# - spin magnetization (μB per formula unit) = 0.0
# - crystal system = trigonal
# - energy relative to the elements (eV per atom) = -0.073

No. 7
# CuPRu2, optimized geometry, DFT PBE-GGA
data_CuPRu2
_space_group_name_H-M_alt 'P 4/m m m'
_space_group_IT_number 123
_space_group_name_Hall '-P 4 2'
_cell_length_a 4.151
_cell_length_b 4.151
_cell_length_c 2.943
_cell_angle_alpha 90.00
_cell_angle_beta 90.00
_cell_angle_gamma 90.00
loop_
_atom_site_label
_atom_site_fract_x
_atom_site_fract_y
_atom_site_fract_z
Cu1 0.000 0.000 0.000
P1 0.500 0.500 0.000
Ru1 0.000 0.500 0.500
# - spin magnetization (μB per formula unit) = 0.0
# - crystal system = tetragonal
# - energy relative to the elements (eV per atom) = -0.017

No. 8
# Sr2LiB, optimized geometry, DFT PBE-GGA
data_Sr2LiB
_space_group_name_H-M_alt 'I -4 2 d'
_space_group_IT_number 122
_space_group_name_Hall 'I -4 2bw'
_cell_length_a 10.813
_cell_length_b 10.813
_cell_length_c 4.505
_cell_angle_alpha 90.00
_cell_angle_beta 90.00
_cell_angle_gamma 90.00
loop_
_atom_site_label
_atom_site_fract_x
_atom_site_fract_y
_atom_site_fract_z
Sr1 0.068 0.250 0.125
Li1 0.000 0.000 0.500
B1 0.000 0.000 0.000
# - spin magnetization (μB per formula unit) = 0.0
# - crystal system = tetragonal
# - energy relative to the elements (eV per atom) = 0.411

no.,volume (Å³/cell),calculated total energy (eV/atom)
1,65.34,-6.2942
2,362.70,-4.4523
3,109.30,-5.0946
4,198.39,-5.6142
5,250.37,-6.4618
6,1506.48,-1.9536
7,50.72,-7.0316
8,526.73,-2.5773